First-principles (GGA-PBE) data for a relaxed structure of AcCeTmSn, as listed in the Alexandria database.

Computed properties:
- E_tot (eV per atom) = -4.7373
- theoretical density (g/cm³) = 9.0

a = 5.5580 Å, b = 5.5580 Å, c = 5.5580 Å
α = 60.00°, β = 60.00°, γ = 60.00°
Positions (direct):
Ac  0.7500  0.7500  0.7500
Tm  0.5000  0.5000  0.5000
Sn  0.2500  0.2500  0.2500
Ce  0.0000  0.0000  0.0000